Entry 1:
ScZnPt2 PBE-GGA optimized geometry; size of the total moment = 0.002 μB/atom
1.0
2.275 -3.940 0.000
2.275 3.940 0.000
0.000 0.000 7.648
Pt Sc Zn
4 2 2
direct
0.667 0.333 0.578
0.333 0.667 0.078
0.333 0.667 0.422
0.667 0.333 0.922
0.000 0.000 0.250
0.000 0.000 0.750
0.667 0.333 0.250
0.333 0.667 0.750

Entry 2:
ScZn2Pt PBE-GGA optimized geometry; size of the total moment = 0.001 μB/atom
1.0
-1.876 -3.441 -3.217
3.742 -5.316 3.504
-5.784 -1.084 4.532
Pt Zn Sc
4 8 4
direct
0.384 0.750 0.614
0.884 0.250 0.886
0.616 0.250 0.386
0.116 0.750 0.114
0.099 0.948 0.821
0.401 0.552 0.321
0.099 0.552 0.821
0.401 0.948 0.321
0.599 0.448 0.679
0.901 0.448 0.179
0.901 0.052 0.179
0.599 0.052 0.679
0.395 0.250 0.040
0.105 0.250 0.540
0.895 0.750 0.460
0.605 0.750 0.960

Entry 3:
ScZnPt2 PBE-GGA optimized geometry; size of the total moment = 0.002 μB/atom
1.0
2.268 -3.928 0.000
2.268 3.928 0.000
0.000 0.000 7.960
Sc Pt Zn
2 4 2
direct
0.000 0.000 0.000
0.000 0.000 0.500
0.333 0.667 0.586
0.667 0.333 0.414
0.667 0.333 0.086
0.333 0.667 0.914
0.667 0.333 0.750
0.333 0.667 0.250

The records above yield E values of -5.497 -4.372 -5.689 eV per atom, respectively.
The records above yield mass density values of 12.13 8.86 11.72 g cm⁻³, respectively.